{"formula": "LiCaTmTe3", "functional": "PBE", "state": "relaxed", "lattice": [[4.3309, 0.0000, 0.0000], [0.0000, 8.8892, 0.0712], [0.0000, -2.2760, 9.3324]], "species": ["Li", "Li", "Ca", "Ca", "Tm", "Tm", "Te", "Te", "Te", "Te", "Te", "Te"], "fractional_positions": [[0.2500, 0.0845, 0.5857], [0.7500, 0.9155, 0.4143], [0.2500, 0.1863, 0.2414], [0.7500, 0.8137, 0.7586], [0.2500, 0.6707, 0.1673], [0.7500, 0.3293, 0.8327], [0.7500, 0.9010, 0.1276], [0.2500, 0.0990, 0.8724], [0.2500, 0.7645, 0.4917], [0.7500, 0.2355, 0.5083], [0.7500, 0.4283, 0.1633], [0.2500, 0.5717, 0.8367]], "space_group": "No. 11"}


{"formula": "LiCa3Tm3Te8", "functional": "PBE", "state": "relaxed", "lattice": [[8.7400, 0.0000, 0.0000], [-4.3700, 7.5704, -0.0273], [0.0000, -5.0219, 7.2878]], "species": ["Li", "Ca", "Ca", "Ca", "Tm", "Tm", "Tm", "Te", "Te", "Te", "Te", "Te", "Te", "Te", "Te"], "fractional_positions": [[0.0000, 0.0000, 0.5000], [0.0000, 0.0000, 0.0000], [0.0000, 0.5000, 0.0000], [0.5000, 0.5000, 0.0000], [0.5000, 0.0000, 0.5000], [0.5000, 0.5000, 0.5000], [0.0000, 0.5000, 0.5000], [0.2532, 0.5065, 0.2598], [0.7468, 0.4935, 0.7402], [0.7531, 0.5061, 0.2640], [0.2469, 0.4939, 0.7360], [0.7530, 0.0109, 0.2639], [0.2470, 0.9891, 0.7361], [0.2579, 0.0109, 0.2639], [0.7421, 0.9891, 0.7361]], "space_group": "No. 166"}


{"formula": "LiCaUTe3", "functional": "PBE", "state": "relaxed", "lattice": [[-3.1533, -0.1620, 2.9572], [0.1543, -9.0733, -0.3324], [6.3650, 2.1383, 6.9042]], "species": ["Li", "Li", "Ca", "Ca", "U", "U", "Te", "Te", "Te", "Te", "Te", "Te"], "fractional_positions": [[0.2500, 0.0846, 0.5842], [0.7500, 0.9154, 0.4158], [0.7500, 0.8154, 0.7622], [0.2500, 0.1846, 0.2378], [0.2500, 0.6677, 0.1591], [0.7500, 0.3323, 0.8409], [0.2500, 0.7686, 0.4934], [0.7500, 0.9073, 0.1297], [0.7500, 0.4272, 0.1751], [0.7500, 0.2314, 0.5066], [0.2500, 0.5728, 0.8249], [0.2500, 0.0927, 0.8703]], "space_group": "No. 11"}


{"formula": "Li2CaUTe4", "functional": "PBE", "state": "relaxed", "lattice": [[4.4055, 0.0000, 0.0000], [0.0000, 7.6079, 0.1433], [0.0000, -2.6315, 6.9591]], "species": ["Li", "Li", "Ca", "U", "Te", "Te", "Te", "Te"], "fractional_positions": [[0.5000, 0.0000, 0.5000], [0.0000, 0.5000, 0.5000], [0.5000, 0.5000, 0.0000], [0.0000, 0.0000, 0.0000], [0.5000, 0.2441, 0.2566], [0.5000, 0.7559, 0.7434], [0.0000, 0.2368, 0.7431], [0.0000, 0.7632, 0.2569]], "space_group": "No. 10"}


{"formula": "LiCa4Y3Te8", "functional": "PBE", "state": "relaxed", "lattice": [[8.8317, 0.0000, 0.0000], [0.0000, 8.8743, 0.0236], [-4.4159, -4.4120, 6.2479]], "species": ["Li", "Ca", "Ca", "Ca", "Ca", "Y", "Y", "Y", "Te", "Te", "Te", "Te", "Te", "Te", "Te", "Te"], "fractional_positions": [[0.0000, 0.5000, 0.0000], [0.5000, 0.0000, 0.0000], [0.5000, 0.0000, 0.5000], [0.0000, 0.0000, 0.0000], [0.0000, 0.0000, 0.5000], [0.5000, 0.5000, 0.0000], [0.5000, 0.5000, 0.5000], [0.0000, 0.5000, 0.5000], [0.2453, 0.7408, 0.9955], [0.2454, 0.7409, 0.4908], [0.2516, 0.2549, 0.5033], [0.7502, 0.7408, 0.9955], [0.2498, 0.2592, 0.0045], [0.7484, 0.7451, 0.4967], [0.7546, 0.2591, 0.5092], [0.7547, 0.2592, 0.0045]], "space_group": "No. 166"}


{"formula": "LiCa3Y3Te8", "functional": "PBE", "state": "relaxed", "lattice": [[-6.3101, -4.1495, 4.5296], [6.3723, -4.6363, -3.9308], [1.9084, 4.9150, 7.1612]], "species": ["Li", "Ca", "Ca", "Ca", "Y", "Y", "Y", "Te", "Te", "Te", "Te", "Te", "Te", "Te", "Te"], "fractional_positions": [[0.0000, 0.0000, 0.5000], [0.0000, 0.0000, 0.0000], [0.0000, 0.5000, 0.0000], [0.5000, 0.5000, 0.0000], [0.5000, 0.0000, 0.5000], [0.5000, 0.5000, 0.5000], [0.0000, 0.5000, 0.5000], [0.2520, 0.5039, 0.2559], [0.7480, 0.4961, 0.7441], [0.7534, 0.5068, 0.2617], [0.2466, 0.4932, 0.7383], [0.7533, 0.0083, 0.2617], [0.2467, 0.9917, 0.7383], [0.2550, 0.0083, 0.2617], [0.7450, 0.9917, 0.7383]], "space_group": "No. 166"}


{"formula": "LiCaY2Te4", "functional": "PBE", "state": "relaxed", "lattice": [[4.3637, 0.0000, 0.0000], [0.0000, 7.5353, 0.1312], [0.0000, -2.6382, 7.2213]], "species": ["Li", "Ca", "Y", "Y", "Te", "Te", "Te", "Te"], "fractional_positions": [[0.5000, 0.5000, 0.0000], [0.0000, 0.0000, 0.0000], [0.5000, 0.0000, 0.5000], [0.0000, 0.5000, 0.5000], [0.5000, 0.2565, 0.2506], [0.5000, 0.7435, 0.7494], [0.0000, 0.2556, 0.7513], [0.0000, 0.7444, 0.2487]], "space_group": "No. 10"}


{"formula": "LiCa2Y3Te6", "functional": "PBE", "state": "relaxed", "lattice": [[-0.5376, 6.8737, -3.1026], [-4.7341, -5.4954, -2.1335], [-2.9138, 1.5357, 6.9835]], "species": ["Li", "Ca", "Ca", "Y", "Y", "Y", "Te", "Te", "Te", "Te", "Te", "Te"], "fractional_positions": [[0.0000, 0.0000, 0.0000], [0.3347, 0.6653, 0.0000], [0.6653, 0.3347, 0.0000], [0.1703, 0.8297, 0.5000], [0.8297, 0.1703, 0.5000], [0.5000, 0.5000, 0.5000], [0.9174, 0.5921, 0.7506], [0.7591, 0.7591, 0.2531], [0.0826, 0.4079, 0.2494], [0.5921, 0.9174, 0.7506], [0.2409, 0.2409, 0.7469], [0.4079, 0.0826, 0.2494]], "space_group": "No. 12"}


Number 1: total magnetic moment 0.000 Bohr magnetons per cell, electronic total energy -51.68 eV/cell. Number 2: total magnetic moment 0.000 Bohr magnetons per cell, electronic total energy -67.10 eV/cell. Number 3: total magnetic moment 5.952 Bohr magnetons per cell, electronic total energy -61.09 eV/cell. Number 4: total magnetic moment 2.000 Bohr magnetons per cell, electronic total energy -37.75 eV/cell. Number 5: total magnetic moment 0.000 Bohr magnetons per cell, electronic total energy -78.06 eV/cell. Number 6: total magnetic moment 0.000 Bohr magnetons per cell, electronic total energy -73.57 eV/cell. Number 7: total magnetic moment 0.000 Bohr magnetons per cell, electronic total energy -40.61 eV/cell. Number 8: total magnetic moment 0.000 Bohr magnetons per cell, electronic total energy -61.29 eV/cell.